[1]
VASP calculation (GGA-PBE) on a relaxed CePu2IrN4 crystal.

Structure (POSCAR):
```
CePu2IrN4
1.0
1.703 -5.778 0.000
1.703 5.778 0.000
0.000 0.000 11.696
Ce Pu Ir N
2 4 2 8
direct
0.109 0.891 0.750
0.891 0.109 0.250
0.370 0.630 0.552
0.370 0.630 0.948
0.630 0.370 0.052
0.630 0.370 0.448
0.150 0.850 0.250
0.850 0.150 0.750
0.000 0.000 0.000
0.000 0.000 0.500
0.274 0.726 0.118
0.274 0.726 0.382
0.456 0.544 0.750
0.544 0.456 0.250
0.726 0.274 0.618
0.726 0.274 0.882
```

M_tot = 8.004 μB per formula unit
ρ = 12.6 Mg/m³
Formation energy (no corrections) = -0.899 eV/atom

---

[2]
VASP calculation (GGA-PBE) on a relaxed SrZrRh3 crystal.

Structure (POSCAR):
```
SrZrRh3
1.0
4.908 0.000 0.000
0.000 4.908 0.000
0.000 0.000 4.908
Sr Zr Rh
1 1 3
direct
0.000 0.000 0.000
0.500 0.500 0.500
0.000 0.500 0.500
0.500 0.000 0.500
0.500 0.500 0.000
```

Formation enthalpy at 0 K = 0.124 eV per atom
M_tot = 0.000 μB per formula unit
ρ = 6.8 Mg/m³

---

Number 1: N(E_F) 30.18 states/eV/cell. Number 2: N(E_F) 3.98 states/eV/cell.